Entry 1:
LiTbPt: optimized geometry, PBE.

Symmetry: C2/m
ΔH_f (0 K) (kJ/mol of atoms): -77.21
Energy relative to the lowest polymorph listed for this composition (eV per atom): 0.0793

Structure (POSCAR):
```
LiTbPt
1.0
3.902 0.013 -0.024
1.941 5.046 0.865
0.032 2.581 6.910
Li Tb Pt
2 2 2
direct
0.532 0.479 0.950
0.914 0.713 0.090
0.152 0.237 0.687
0.293 0.955 0.353
0.876 0.791 0.694
0.570 0.401 0.347
```

Entry 2:
Li2TbPt2: optimized geometry, PBE.

Symmetry: C2/m
ΔH_f (0 K) (kJ/mol of atoms): -70.89
Energy relative to the lowest polymorph listed for this composition (eV per atom): 0.0000

Structure (POSCAR):
```
Li2TbPt2
1.0
4.091 0.017 1.971
1.481 3.814 1.971
-0.211 -0.145 5.114
Li Tb Pt
2 1 2
direct
0.909 0.409 0.748
0.091 0.591 0.252
0.500 0.000 0.000
0.726 0.226 0.347
0.274 0.774 0.653
```

Entry 3:
LiTb2Pt2: optimized geometry, PBE.

Symmetry: Ibam
ΔH_f (0 K) (kJ/mol of atoms): -89.71
Energy relative to the lowest polymorph listed for this composition (eV per atom): 0.0692

Structure (POSCAR):
```
LiTb2Pt2
1.0
-1.051 -5.374 1.481
7.106 -1.033 1.298
-3.753 4.789 3.847
Li Tb Pt
2 4 4
direct
0.750 0.500 0.000
0.250 0.500 0.000
0.855 0.701 0.711
0.145 0.299 0.289
0.645 0.990 0.289
0.355 0.010 0.711
0.391 0.656 0.781
0.609 0.344 0.219
0.109 0.875 0.219
0.891 0.125 0.781
```

Entry 4:
Li2TbPt2: optimized geometry, PBE.

Symmetry: P4/nmm
ΔH_f (0 K) (kJ/mol of atoms): -69.01
Energy relative to the lowest polymorph listed for this composition (eV per atom): 0.0195

Structure (POSCAR):
```
Li2TbPt2
1.0
-1.647 3.489 -1.126
-3.291 -1.950 -1.231
-4.337 1.119 9.812
Li Tb Pt
4 2 4
direct
0.250 0.750 0.877
0.750 0.250 0.123
0.250 0.250 0.500
0.750 0.750 0.500
0.250 0.750 0.231
0.750 0.250 0.769
0.250 0.750 0.659
0.750 0.250 0.341
0.250 0.250 0.000
0.750 0.750 0.000
```